(1)
VASP calculation (PBE-GGA) on a geometry-optimized TbCe2PrSb4 structure.

Raw formation energy: -1.106 eV/atom
DOS at the Fermi energy: 14.325 states/eV/f.u.

a = 4.4856 Å, b = 7.7852 Å, c = 7.7722 Å
α = 70.57°, β = 90.00°, γ = 90.00°
With the nearest neighbours (Å) after each atom.
Sites, in units of the cell vectors:
Sb1 0.0000 0.7520 0.7445  3 Ce 3.15-3.20, 1 Tb 3.15, 2 Pr 3.20
Sb2 0.5000 0.7484 0.2553  3 Ce 3.15-3.20, 2 Tb 3.15, 1 Pr 3.20
Sb3 0.0000 0.2480 0.2555  3 Ce 3.15-3.20, 1 Tb 3.15, 2 Pr 3.20
Sb4 0.5000 0.2516 0.7447  3 Ce 3.15-3.20, 2 Tb 3.15, 1 Pr 3.20
Tb1 0.0000 0.5000 0.5000  6 Sb 3.15
Ce1 0.0000 0.0000 0.0000  6 Sb 3.20
Ce2 0.5000 0.0000 0.5000  6 Sb 3.15
Pr1 0.5000 0.5000 0.0000  6 Sb 3.20

---

(2)
VASP calculation (PBE-GGA) on a geometry-optimized SrInCl3 structure.

Raw formation energy: -1.170 eV/atom
DOS at the Fermi energy: 1.468 states/eV/f.u.

a = 5.5830 Å, b = 5.5830 Å, c = 5.5830 Å
α = 90.00°, β = 90.00°, γ = 90.00°
With the nearest neighbours (Å) after each atom.
Sites, in units of the cell vectors:
In1 0.0000 0.0000 0.0000  6 Cl 2.79
Cl1 0.0000 0.5000 0.0000  2 In 2.79
Cl2 0.5000 0.0000 0.0000  2 In 2.79
Cl3 0.0000 0.0000 0.5000  2 In 2.79
Sr1 0.5000 0.5000 0.5000  12 Cl 3.95

---

(3)
VASP calculation (PBE-GGA) on a geometry-optimized OsPt3 structure.

ΔH_f (0 K): -0.005 eV/atom
DOS at the Fermi energy: 4.987 states/eV/f.u.

a = 2.7605 Å, b = 2.7605 Å, c = 16.0847 Å
α = 90.00°, β = 90.00°, γ = 90.00°
With the nearest neighbours (Å) after each atom.
Sites, in units of the cell vectors:
Os1 0.5000 0.0000 0.4447  8 Os 2.64-2.76, 4 Pt 2.80
Os2 0.0000 0.5000 0.5553  8 Os 2.64-2.76, 4 Pt 2.80
Pt1 0.0000 0.5000 0.8091  12 Pt 2.76-2.85
Pt2 0.5000 0.0000 0.6799  8 Pt 2.76-2.85, 4 Os 2.80
Pt3 0.0000 0.5000 0.0632  12 Pt 2.76-2.83
Pt4 0.0000 0.5000 0.3201  8 Pt 2.76-2.85, 4 Os 2.80
Pt5 0.5000 0.0000 0.9368  12 Pt 2.76-2.83
Pt6 0.5000 0.0000 0.1909  12 Pt 2.76-2.85

---

(4)
VASP calculation (PBE-GGA) on a geometry-optimized CaInGa2Pt5 structure.

ΔH_f (0 K): -0.532 eV/atom
DOS at the Fermi energy: 3.929 states/eV/f.u.

a = 3.9947 Å, b = 3.9947 Å, c = 11.8218 Å
α = 90.00°, β = 90.00°, γ = 90.00°
With the nearest neighbours (Å) after each atom.
Sites, in units of the cell vectors:
In1 0.0000 0.0000 0.0000  8 Pt 2.77
Pt1 0.0000 0.5000 0.1628  2 Ga 2.53, 2 In 2.77, 4 Pt 2.82
Pt2 0.0000 0.5000 0.8372  2 Ga 2.53, 2 In 2.77, 4 Pt 2.82
Pt3 0.5000 0.0000 0.1628  2 Ga 2.53, 2 In 2.77, 4 Pt 2.82
Pt4 0.5000 0.5000 0.5000  2 Ga 2.44
Pt5 0.5000 0.0000 0.8372  2 Ga 2.53, 2 In 2.77, 4 Pt 2.82
Ca1 0.0000 0.0000 0.5000  4 Pt 2.82
Ga1 0.5000 0.5000 0.7065  5 Pt 2.44-2.53
Ga2 0.5000 0.5000 0.2935  5 Pt 2.44-2.53

---

(5)
VASP calculation (PBE-GGA) on a geometry-optimized FeHgAs2 structure.

ΔH_f (0 K): 0.181 eV/atom
DOS at the Fermi energy: 3.173 states/eV/f.u.

a = 2.9198 Å, b = 2.9197 Å, c = 9.6815 Å
α = 90.00°, β = 90.00°, γ = 90.00°
With the nearest neighbours (Å) after each atom.
Sites, in units of the cell vectors:
Hg1 0.5000 0.5000 0.7406  4 Hg 2.92, 1 As 3.16
As1 0.0000 0.0000 0.0563  1 Fe 2.26
As2 0.5000 0.5000 0.4139  4 Fe 2.39
Fe1 0.0000 0.0000 0.2892  5 As 2.26-2.39

---

(6)
VASP calculation (PBE-GGA) on a geometry-optimized Rb2PtI6O structure.

Raw formation energy: -0.569 eV/atom
DOS at the Fermi energy: 6.980 states/eV/f.u.

a = 8.6356 Å, b = 8.6356 Å, c = 7.9160 Å
α = 56.94°, β = 56.94°, γ = 90.00°
With the nearest neighbours (Å) after each atom.
Sites, in units of the cell vectors:
I1 0.7808 0.2192 0.0000  1 Pt 2.68
I2 0.2192 0.2192 0.0000  1 Pt 2.68
I3 0.7808 0.7808 0.0000  1 Pt 2.68
I4 0.7133 0.7133 0.5734  1 O 2.15
I5 0.2867 0.2867 0.4266  1 O 2.15
I6 0.2192 0.7808 0.0000  1 Pt 2.68
Pt1 0.0000 0.0000 0.0000  6 I 2.68-2.89
Rb1 0.7500 0.2500 0.5000  12 I 3.98-4.33
Rb2 0.2500 0.7500 0.5000  12 I 3.98-4.33
O1 0.5000 0.5000 0.0000  2 I 2.15